(1)
# PBEsol ZrAlAg2, relaxed
data_ZrAlAg2
_chemical_formula_sum 'Zr4 Al4 Ag8'
_symmetry_space_group_name_H-M 'F -4 3 m'
_symmetry_Int_Tables_number 216
_symmetry_space_group_name_Hall 'F -4 2 3'
_cell_length_a 6.536
_cell_length_b 6.536
_cell_length_c 6.536
_cell_angle_alpha 90.00
_cell_angle_beta 90.00
_cell_angle_gamma 90.00
loop_
_atom_site_label
_atom_site_fract_x
_atom_site_fract_y
_atom_site_fract_z
Zr1 0.000 0.000 0.000
Al1 0.250 0.250 0.750
Ag1 0.000 0.000 0.500
Ag2 0.250 0.250 0.250
# D(E_F) ... 0.48 states/eV/atom
# Calculated formation energy ... -60 kJ/mol of formula units

(2)
# PBEsol Zr2AlAg, relaxed
data_Zr2AlAg
_chemical_formula_sum 'Zr6 Al3 Ag3'
_symmetry_space_group_name_H-M 'R 3 m'
_symmetry_Int_Tables_number 160
_symmetry_space_group_name_Hall 'R 3 -2"'
_cell_length_a 3.0943
_cell_length_b 3.0943
_cell_length_c 28.3918
_cell_angle_alpha 90.00
_cell_angle_beta 90.00
_cell_angle_gamma 120.00
loop_
_atom_site_label
_atom_site_fract_x
_atom_site_fract_y
_atom_site_fract_z
Zr1 0.0000 0.0000 0.0000
Zr2 0.0000 0.0000 0.2449
Al1 0.0000 0.0000 0.7515
Ag1 0.0000 0.0000 0.4920
# D(E_F) ... 0.70 states/eV/atom
# Calculated formation energy ... -8 kJ/mol of formula units

(3)
# PBEsol Zr2AlAg, relaxed
data_Zr2AlAg
_chemical_formula_sum 'Zr8 Al4 Ag4'
_symmetry_space_group_name_H-M 'F -4 3 m'
_symmetry_Int_Tables_number 216
_symmetry_space_group_name_Hall 'F -4 2 3'
_cell_length_a 6.772
_cell_length_b 6.772
_cell_length_c 6.772
_cell_angle_alpha 90.00
_cell_angle_beta 90.00
_cell_angle_gamma 90.00
loop_
_atom_site_label
_atom_site_fract_x
_atom_site_fract_y
_atom_site_fract_z
Zr1 0.000 0.000 0.000
Zr2 0.250 0.250 0.250
Al1 0.000 0.000 0.500
Ag1 0.250 0.250 0.750
# D(E_F) ... 1.06 states/eV/atom
# Calculated formation energy ... 53 kJ/mol of formula units

(4)
# PBEsol ZrAlAg3, relaxed
data_ZrAlAg3
_chemical_formula_sum 'Zr1 Al1 Ag3'
_symmetry_space_group_name_H-M 'P m -3 m'
_symmetry_Int_Tables_number 221
_symmetry_space_group_name_Hall '-P 4 2 3'
_cell_length_a 4.647
_cell_length_b 4.647
_cell_length_c 4.647
_cell_angle_alpha 90.00
_cell_angle_beta 90.00
_cell_angle_gamma 90.00
loop_
_atom_site_label
_atom_site_fract_x
_atom_site_fract_y
_atom_site_fract_z
Zr1 0.000 0.000 0.000
Al1 0.500 0.500 0.500
Ag1 0.000 0.500 0.500
# D(E_F) ... 0.93 states/eV/atom
# Calculated formation energy ... 244 kJ/mol of formula units

(5)
# PBEsol Zr2AlAg, relaxed
data_Zr2AlAg
_chemical_formula_sum 'Zr2 Al1 Ag1'
_symmetry_space_group_name_H-M 'P m m m'
_symmetry_Int_Tables_number 47
_symmetry_space_group_name_Hall '-P 2 2'
_cell_length_a 3.148
_cell_length_b 4.189
_cell_length_c 5.714
_cell_angle_alpha 90.00
_cell_angle_beta 90.00
_cell_angle_gamma 90.00
loop_
_atom_site_label
_atom_site_fract_x
_atom_site_fract_y
_atom_site_fract_z
Zr1 0.000 0.000 0.248
Al1 0.500 0.500 0.000
Ag1 0.500 0.500 0.500
# D(E_F) ... 0.91 states/eV/atom
# Calculated formation energy ... -99 kJ/mol of formula units

(6)
# PBEsol ZrAl2Ag, relaxed
data_ZrAl2Ag
_chemical_formula_sum 'Zr4 Al8 Ag4'
_symmetry_space_group_name_H-M 'F -4 3 m'
_symmetry_Int_Tables_number 216
_symmetry_space_group_name_Hall 'F -4 2 3'
_cell_length_a 6.554
_cell_length_b 6.554
_cell_length_c 6.554
_cell_angle_alpha 90.00
_cell_angle_beta 90.00
_cell_angle_gamma 90.00
loop_
_atom_site_label
_atom_site_fract_x
_atom_site_fract_y
_atom_site_fract_z
Zr1 0.000 0.000 0.000
Al1 0.000 0.000 0.500
Al2 0.250 0.250 0.250
Ag1 0.250 0.250 0.750
# Polymorph energy (0 for the lowest one) ... 338 meV per atom
# D(E_F) ... 0.73 states/eV/atom
# Calculated formation energy ... -25 kJ/mol of formula units